(1)
A PBEsol-optimized structure of IrRhCl. Source: Alexandria via LeMat-Bulk, functional meta-GGA SCAN.

Cell and atoms, written as POSCAR:
```
IrRhCl
1.0
3.787 0.000 0.000
-1.893 3.279 0.000
0.000 0.000 3.669
Ir Rh Cl
1 1 1
Cartesian
0.000 2.186 2.482
1.893 1.093 1.223
0.000 0.000 3.633
```

* symmetry: P3m1, No. 156
* energy above the most stable polymorph in this dataset: 137 meV/atom
* crystal system: trigonal

(2)
A PBEsol-optimized structure of TcMo2Pb. Source: Alexandria via LeMat-Bulk, functional meta-GGA SCAN.

Cell and atoms, written as POSCAR:
```
TcMo2Pb
1.0
2.960 0.040 0.000
-0.146 2.957 0.000
0.000 0.000 7.764
Mo Pb Tc
2 1 1
Cartesian
0.000 0.000 1.653
0.000 0.000 6.110
1.407 1.499 3.882
1.407 1.499 0.000
```

* symmetry: Cmmm, No. 65
* energy of formation from the pure elements: 0.476 eV/atom
* crystal system: orthorhombic

(3)
A PBEsol-optimized structure of MnH3Ir. Source: Alexandria via LeMat-Bulk, functional meta-GGA SCAN.

Cell and atoms, written as POSCAR:
```
MnH3Ir
1.0
3.222 0.000 0.000
0.000 3.222 0.000
0.000 0.000 3.222
H Ir Mn
3 1 1
Cartesian
0.000 1.611 0.000
0.000 0.000 1.611
1.611 0.000 0.000
1.611 1.611 1.611
0.000 0.000 0.000
```

* symmetry: Pm-3m, No. 221
* crystal system: cubic
* VASP energy: -96.98 eV/cell

(4)
A PBEsol-optimized structure of NaZr2AgSn. Source: Alexandria via LeMat-Bulk, functional meta-GGA SCAN.

Cell and atoms, written as POSCAR:
```
NaZr2AgSn
1.0
5.052 0.000 0.000
0.000 5.385 0.000
0.000 0.000 5.385
Zr Sn Ag Na
2 1 1 1
Cartesian
0.000 0.000 2.693
0.000 2.693 0.000
0.000 0.000 0.000
2.526 0.000 0.000
2.526 2.693 2.693
```

* symmetry: P4/mmm, No. 123
* energy of formation from the pure elements: 0.799 eV/atom
* crystal system: tetragonal

(5)
A PBEsol-optimized structure of SrMn2BeBi. Source: Alexandria via LeMat-Bulk, functional meta-GGA SCAN.

Cell and atoms, written as POSCAR:
```
SrMn2BeBi
1.0
5.072 0.000 0.000
0.000 5.072 0.000
0.000 0.000 5.897
Sr Mn Bi Be
1 2 1 1
Cartesian
0.000 0.000 0.000
0.000 2.536 0.000
2.536 0.000 0.000
0.000 0.000 2.949
2.536 2.536 2.949
```

* symmetry: P4/mmm, No. 123
* energy of formation from the pure elements: 1.916 eV/atom
* crystal system: tetragonal

(6)
A PBEsol-optimized structure of LiSbPb2. Source: Alexandria via LeMat-Bulk, functional meta-GGA SCAN.

Cell and atoms, written as POSCAR:
```
LiSbPb2
1.0
-3.080 -0.292 1.543
-2.271 -1.965 -4.903
2.032 -4.291 3.243
Li Pb Sb
1 2 1
Cartesian
-1.659 -3.274 -0.058
-1.135 -0.982 -2.451
1.016 -2.145 1.621
-1.540 -0.146 0.772
```

* symmetry: Cmmm, No. 65
* crystal system: orthorhombic
* VASP energy: -191.69 eV/cell

(7)
A PBEsol-optimized structure of Nb3RhN. Source: Alexandria via LeMat-Bulk, functional meta-GGA SCAN.

Cell and atoms, written as POSCAR:
```
Nb3RhN
1.0
-0.392 4.173 -0.091
-3.985 -0.401 -1.241
-1.244 -0.029 4.004
Nb Rh N
3 1 1
Cartesian
-1.992 -0.201 -0.621
-0.622 -0.015 2.002
-0.196 2.087 -0.046
-2.810 1.871 1.336
0.000 0.000 0.000
```

* symmetry: Pm-3m, No. 221
* crystal system: cubic
* VASP energy: -145.43 eV/cell

(8)
A PBEsol-optimized structure of LiIn2Mo. Source: Alexandria via LeMat-Bulk, functional meta-GGA SCAN.

Cell and atoms, written as POSCAR:
```
LiIn2Mo
1.0
-3.129 0.731 -2.628
1.721 -2.573 -2.766
-1.394 -2.227 4.319
In Li Mo
2 1 1
Cartesian
-0.188 -2.860 -0.572
-2.614 -1.208 -0.503
-0.704 -0.921 -2.697
0.000 0.000 0.000
```

* symmetry: I4/mmm, No. 139
* energy of formation from the pure elements: 0.152 eV/atom
* crystal system: tetragonal